Entry 1:
Crystalline LiIrPb2O6 at its relaxed geometry, computed with GGA-PBE.

abc: 5.811 5.811 5.811
angles: 58.37 58.37 58.37
Atoms (fractional coordinates):
1 O 0.868 0.253 0.681
2 Pb 0.226 0.226 0.226
3 O 0.137 0.794 0.341
4 Pb 0.713 0.713 0.713
5 O 0.253 0.681 0.868
6 O 0.341 0.137 0.794
7 Li 0.480 0.480 0.480
8 O 0.794 0.341 0.137
9 O 0.681 0.868 0.253
10 Ir 0.007 0.007 0.007

Properties
Size of the total moment   0.00 μB per formula unit
Formation energy (no corrections)   -1.08 eV/atom
Calculated volume   13.36 Å³ per atom
Crystal system   trigonal

***

Entry 2:
Crystalline Li2IrPbO6 at its relaxed geometry, computed with GGA-PBE.

abc: 5.602 5.602 5.602
angles: 56.56 56.56 56.56
Last column: magnetic moment on the atom in μB.
Atoms (fractional coordinates):
1 Li 0.710 0.710 0.710  0.01
2 O 0.812 0.390 0.073  0.04
3 Li 0.214 0.214 0.214  0.01
4 O 0.246 0.630 0.925  0.09
5 Pb 0.495 0.495 0.495  0.00
6 O 0.630 0.925 0.246  0.09
7 O 0.925 0.246 0.630  0.09
8 O 0.073 0.812 0.390  0.04
9 O 0.390 0.073 0.812  0.04
10 Ir 0.005 0.005 0.005  0.58

Properties
Size of the total moment   1.11 μB per formula unit
Formation energy (no corrections)   -1.09 eV/atom
Calculated volume   11.44 Å³ per atom
Crystal system   trigonal

***

Entry 3:
Crystalline Li2IrPb2O6 at its relaxed geometry, computed with GGA-PBE.

abc: 5.494 5.494 6.365
angles: 110.00 110.00 102.65
Last column: magnetic moment on the atom in μB.
Atoms (fractional coordinates):
1 O 0.672 0.011 0.250  0.03
2 O 0.771 0.771 0.601  0.01
3 Pb 0.190 0.810 0.000  0.00
4 O 0.989 0.328 0.750  0.03
5 Ir 0.000 0.000 0.500  0.27
6 O 0.229 0.229 0.399  0.01
7 Li 0.348 0.652 0.500  0.00
8 O 0.328 0.989 0.750  0.03
9 Li 0.652 0.348 0.500  0.00
10 Pb 0.810 0.190 0.000  0.00
11 O 0.011 0.672 0.250  0.03

Properties
Size of the total moment   0.44 μB per formula unit
Formation energy (no corrections)   -1.18 eV/atom
Calculated volume   14.26 Å³ per atom
Crystal system   monoclinic

***

Entry 4:
Crystalline Li3IrPd2O6 at its relaxed geometry, computed with GGA-PBE.

abc: 5.393 5.393 5.341
angles: 104.02 104.02 114.79
Last column: magnetic moment on the atom in μB.
Atoms (fractional coordinates):
1 O 0.612 0.937 0.750  0.13
2 Pd 0.668 0.332 0.000  0.25
3 O 0.063 0.388 0.250  0.13
4 Li 0.825 0.175 0.500  0.00
5 Li 0.175 0.825 0.500  0.00
6 O 0.937 0.612 0.750  0.13
7 Pd 0.332 0.668 0.000  0.25
8 O 0.771 0.771 0.205  -0.01
9 Li 0.500 0.500 0.500  0.00
10 Ir 0.000 0.000 0.000  0.29
11 O 0.388 0.063 0.250  0.13
12 O 0.229 0.229 0.795  -0.01

Properties
Size of the total moment   1.37 μB per formula unit
Formation energy (no corrections)   -0.97 eV/atom
Calculated volume   10.50 Å³ per atom
Crystal system   monoclinic

***

Entry 5:
Crystalline Li2PmIrO6 at its relaxed geometry, computed with GGA-PBE.

abc: 5.397 5.516 7.923
angles: 90.00 90.83 90.00
Last column: magnetic moment on the atom in μB.
Atoms (fractional coordinates):
1 O 0.314 0.635 0.059  0.09
2 O 0.621 0.091 0.278  0.08
3 O 0.686 0.365 0.941  0.09
4 O 0.618 0.307 0.582  0.09
5 Li 0.474 0.523 0.761  0.01
6 O 0.382 0.693 0.418  0.09
7 Ir 0.500 0.000 0.500  0.73
8 Pm 0.000 0.500 0.500  0.03
9 O 0.118 0.193 0.082  0.09
10 O 0.814 0.865 0.559  0.09
11 Ir 0.000 0.500 0.000  0.73
12 Pm 0.500 0.000 0.000  0.03
13 O 0.882 0.807 0.918  0.09
14 Li 0.974 0.977 0.261  0.01
15 O 0.379 0.909 0.722  0.08
16 O 0.186 0.135 0.441  0.09
17 O 0.879 0.591 0.222  0.08
18 O 0.121 0.409 0.778  0.08
19 Li 0.526 0.477 0.239  0.01
20 Li 0.026 0.023 0.739  0.01

Properties
Size of the total moment   1.47 μB per formula unit
Formation energy (no corrections)   -1.66 eV/atom
Calculated volume   11.79 Å³ per atom
Crystal system   monoclinic

***

Entry 6:
Crystalline Li2PmIrO4 at its relaxed geometry, computed with GGA-PBE.

abc: 5.575 5.075 5.075
angles: 78.06 56.68 56.68
Last column: magnetic moment on the atom in μB.
Atoms (fractional coordinates):
1 O 0.536 0.598 0.865  0.11
2 Li 0.500 0.250 0.750  0.00
3 O 0.464 0.135 0.402  0.11
4 Pm 0.000 0.000 0.000  0.08
5 O 0.000 0.402 0.135  0.11
6 Ir 0.000 0.500 0.500  1.30
7 Li 0.500 0.750 0.250  0.00
8 O 0.000 0.865 0.598  0.11

Properties
Size of the total moment   2.02 μB per formula unit
Formation energy (no corrections)   -1.65 eV/atom
Calculated volume   12.42 Å³ per atom
Crystal system   tetragonal

***

Entry 7:
Crystalline LiPm2IrO5 at its relaxed geometry, computed with GGA-PBE.

abc: 5.790 6.765 6.765
angles: 90.00 90.00 90.00
Last column: magnetic moment on the atom in μB.
Atoms (fractional coordinates):
1 Li 0.000 0.000 0.000  0.00
2 Pm 0.500 0.178 0.322  0.00
3 O 0.500 0.500 0.500  0.06
4 O 0.500 0.000 0.000  0.06
5 O 0.252 0.635 0.865  0.14
6 Pm 0.500 0.822 0.678  0.00
7 O 0.252 0.365 0.135  0.14
8 Ir 0.000 0.000 0.500  1.22
9 Pm 0.500 0.678 0.178  0.00
10 O 0.748 0.635 0.865  0.14
11 Ir 0.000 0.500 0.000  1.22
12 Pm 0.500 0.322 0.822  0.00
13 O 0.748 0.865 0.365  0.14
14 O 0.748 0.135 0.635  0.14
15 O 0.252 0.135 0.635  0.14
16 Li 0.000 0.500 0.500  0.00
17 O 0.252 0.865 0.365  0.14
18 O 0.748 0.365 0.135  0.14

Properties
Size of the total moment   2.01 μB per formula unit
Formation energy (no corrections)   -2.17 eV/atom
Calculated volume   14.72 Å³ per atom
Crystal system   tetragonal

***

Entry 8:
Crystalline Li2Pm2IrO6 at its relaxed geometry, computed with GGA-PBE.

abc: 5.596 5.596 5.998
angles: 62.19 62.19 60.00
Last column: magnetic moment on the atom in μB.
Atoms (fractional coordinates):
1 O 0.757 0.214 0.272  0.04
2 Li 0.425 0.425 0.726  0.01
3 O 0.243 0.786 0.728  0.04
4 O 0.757 0.757 0.272  0.04
5 O 0.786 0.243 0.728  0.04
6 O 0.243 0.243 0.728  0.04
7 Ir 0.000 0.000 0.000  0.68
8 Pm 0.788 0.788 0.635  0.01
9 Li 0.575 0.575 0.274  0.01
10 O 0.214 0.757 0.272  0.04
11 Pm 0.212 0.212 0.365  0.01

Properties
Size of the total moment   1.03 μB per formula unit
Formation energy (no corrections)   -2.02 eV/atom
Calculated volume   12.46 Å³ per atom
Crystal system   trigonal

***

Entry 9:
Crystalline LiPmIrO6 at its relaxed geometry, computed with GGA-PBE.

abc: 4.983 4.983 9.786
angles: 90.00 90.00 90.00
Last column: magnetic moment on the atom in μB.
Atoms (fractional coordinates):
1 Pm 0.500 0.500 0.166  0.03
2 O 0.193 0.807 0.470  0.13
3 O 0.233 0.767 0.837  -0.03
4 O 0.821 0.179 0.189  0.08
5 Ir 0.000 0.000 0.334  0.43
6 O 0.321 0.321 0.689  0.08
7 Li 0.500 0.500 0.508  0.00
8 O 0.733 0.733 0.337  -0.03
9 Pm 0.000 0.000 0.666  0.03
10 O 0.267 0.267 0.337  -0.03
11 O 0.767 0.233 0.837  -0.03
12 O 0.679 0.679 0.689  0.08
13 Ir 0.500 0.500 0.834  0.43
14 O 0.807 0.193 0.470  0.13
15 O 0.693 0.693 0.970  0.13
16 Li 0.000 0.000 0.008  0.00
17 O 0.307 0.307 0.970  0.13
18 O 0.179 0.821 0.189  0.08

Properties
Size of the total moment   0.92 μB per formula unit
Formation energy (no corrections)   -1.44 eV/atom
Calculated volume   13.50 Å³ per atom
Crystal system   tetragonal

***

Entry 10:
Crystalline Li3PmIr4O12 at its relaxed geometry, computed with GGA-PBE.

abc: 6.528 6.528 6.528
angles: 109.47 109.47 109.47
Atoms (fractional coordinates):
1 Ir 0.500 0.000 0.000
2 O 0.701 0.176 0.877
3 O 0.299 0.824 0.123
4 Ir 0.000 0.500 0.000
5 Ir 0.500 0.500 0.500
6 O 0.525 0.701 0.824
7 Li 0.500 0.000 0.500
8 O 0.299 0.176 0.475
9 O 0.877 0.701 0.176
10 O 0.475 0.299 0.176
11 O 0.176 0.877 0.701
12 O 0.123 0.299 0.824
13 O 0.701 0.824 0.525
14 Li 0.000 0.500 0.500
15 Ir 0.000 0.000 0.500
16 O 0.176 0.475 0.299
17 Pm 0.000 0.000 0.000
18 O 0.824 0.123 0.299
19 Li 0.500 0.500 0.000
20 O 0.824 0.525 0.701

Properties
Size of the total moment   0.07 μB per formula unit
Formation energy (no corrections)   -1.32 eV/atom
Calculated volume   10.71 Å³ per atom
Crystal system   cubic

***

Entry 11:
Crystalline LiPm2IrO6 at its relaxed geometry, computed with GGA-PBE.

abc: 5.415 5.831 7.738
angles: 90.00 89.31 90.00
Last column: magnetic moment on the atom in μB.
Atoms (fractional coordinates):
1 O 0.197 0.186 0.450  0.11
2 O 0.323 0.710 0.445  0.14
3 O 0.896 0.533 0.246  0.11
4 O 0.823 0.790 0.945  0.14
5 O 0.104 0.467 0.754  0.11
6 O 0.396 0.967 0.746  0.11
7 O 0.677 0.290 0.555  0.14
8 Li 0.500 0.000 0.000  0.00
9 Pm 0.020 0.924 0.252  0.01
10 Pm 0.480 0.424 0.248  0.01
11 O 0.803 0.814 0.550  0.11
12 Ir 0.500 0.000 0.500  1.10
13 O 0.604 0.033 0.254  0.11
14 O 0.697 0.314 0.950  0.11
15 Ir 0.000 0.500 0.000  1.10
16 O 0.177 0.210 0.055  0.14
17 Pm 0.520 0.576 0.752  0.01
18 O 0.303 0.686 0.050  0.11
19 Pm 0.980 0.076 0.748  0.01
20 Li 0.000 0.500 0.500  0.00

Properties
Size of the total moment   2.03 μB per formula unit
Formation energy (no corrections)   -2.31 eV/atom
Calculated volume   12.22 Å³ per atom
Crystal system   monoclinic

***

Entry 12:
Crystalline Li2Pr2IrO6 at its relaxed geometry, computed with GGA-PBE.

abc: 5.618 5.618 6.005
angles: 62.11 62.11 60.00
Last column: magnetic moment on the atom in μB.
Atoms (fractional coordinates):
1 Pr 0.216 0.216 0.352  0.01
2 O 0.757 0.757 0.269  0.04
3 Li 0.574 0.574 0.279  0.01
4 O 0.243 0.784 0.731  0.04
5 O 0.757 0.216 0.269  0.04
6 O 0.216 0.757 0.269  0.04
7 Li 0.426 0.426 0.721  0.01
8 O 0.784 0.243 0.731  0.04
9 Ir 0.000 0.000 0.000  0.67
10 O 0.243 0.243 0.731  0.04
11 Pr 0.784 0.784 0.648  0.01

Properties
Size of the total moment   1.03 μB per formula unit
Formation energy (no corrections)   -2.02 eV/atom
Calculated volume   12.56 Å³ per atom
Crystal system   trigonal

***

Entry 13:
Crystalline LiPr2IrO6 at its relaxed geometry, computed with GGA-PBE.

abc: 5.840 5.489 9.523
angles: 55.32 90.00 90.00
Last column: magnetic moment on the atom in μB.
Atoms (fractional coordinates):
1 Pr 0.430 0.769 0.248  0.01
2 O 0.787 0.733 0.949  0.13
3 O 0.713 0.733 0.449  0.13
4 Li 0.500 0.000 0.500  0.00
5 O 0.473 0.652 0.754  0.11
6 O 0.527 0.348 0.246  0.11
7 O 0.287 0.267 0.551  0.13
8 O 0.311 0.843 0.953  0.11
9 Pr 0.930 0.231 0.252  0.01
10 Ir 0.500 0.500 0.000  1.10
11 O 0.027 0.652 0.254  0.11
12 Ir 0.000 0.500 0.500  1.10
13 Pr 0.070 0.769 0.748  0.01
14 Pr 0.570 0.231 0.752  0.01
15 O 0.213 0.267 0.051  0.13
16 O 0.811 0.157 0.547  0.11
17 Li 0.000 0.000 0.000  0.00
18 O 0.689 0.157 0.047  0.11
19 O 0.973 0.348 0.746  0.11
20 O 0.189 0.843 0.453  0.11

Properties
Size of the total moment   2.03 μB per formula unit
Formation energy (no corrections)   -2.28 eV/atom
Calculated volume   12.55 Å³ per atom
Crystal system   monoclinic

***

Entry 14:
Crystalline LiPr2IrO5 at its relaxed geometry, computed with GGA-PBE.

abc: 5.807 6.898 6.898
angles: 90.00 90.00 90.00
Last column: magnetic moment on the atom in μB.
Atoms (fractional coordinates):
1 O 0.751 0.366 0.134  0.14
2 Pr 0.500 0.678 0.178  0.00
3 O 0.751 0.866 0.366  0.14
4 Pr 0.500 0.322 0.822  0.00
5 Li 0.000 0.500 0.500  0.00
6 O 0.751 0.134 0.634  0.14
7 Ir 0.000 0.500 0.000  1.22
8 O 0.751 0.634 0.866  0.14
9 O 0.500 0.000 0.000  0.05
10 Pr 0.500 0.822 0.678  0.00
11 O 0.249 0.866 0.366  0.14
12 Ir 0.000 0.000 0.500  1.22
13 Pr 0.500 0.178 0.322  0.00
14 Li 0.000 0.000 0.000  0.00
15 O 0.249 0.634 0.866  0.14
16 O 0.249 0.134 0.634  0.14
17 O 0.500 0.500 0.500  0.05
18 O 0.249 0.366 0.134  0.14

Properties
Size of the total moment   2.01 μB per formula unit
Formation energy (no corrections)   -2.12 eV/atom
Calculated volume   15.35 Å³ per atom
Crystal system   tetragonal

***

Entry 15:
Crystalline Li2PrIrO6 at its relaxed geometry, computed with GGA-PBE.

abc: 5.421 5.526 7.981
angles: 90.00 91.20 90.00
Last column: magnetic moment on the atom in μB.
Atoms (fractional coordinates):
1 O 0.185 0.128 0.440  0.10
2 Pr 0.000 0.500 0.500  0.02
3 O 0.315 0.628 0.060  0.10
4 Li 0.469 0.522 0.762  0.01
5 O 0.892 0.807 0.914  0.10
6 O 0.108 0.193 0.086  0.10
7 O 0.378 0.897 0.719  0.08
8 Li 0.969 0.978 0.262  0.01
9 O 0.392 0.693 0.414  0.10
10 O 0.622 0.103 0.281  0.08
11 Li 0.531 0.478 0.238  0.01
12 Ir 0.000 0.500 0.000  0.80
13 O 0.878 0.603 0.219  0.08
14 O 0.815 0.872 0.560  0.10
15 O 0.608 0.307 0.586  0.10
16 Li 0.031 0.022 0.738  0.01
17 O 0.685 0.372 0.940  0.10
18 Ir 0.500 0.000 0.500  0.80
19 Pr 0.500 0.000 0.000  0.02
20 O 0.122 0.397 0.781  0.08

Properties
Size of the total moment   1.60 μB per formula unit
Formation energy (no corrections)   -1.64 eV/atom
Calculated volume   11.95 Å³ per atom
Crystal system   monoclinic

***

Entry 16:
Crystalline Li2PrIr2O7 at its relaxed geometry, computed with GGA-PBE.

abc: 3.917 3.916 9.662
angles: 101.70 101.70 90.00
Last column: magnetic moment on the atom in μB.
Atoms (fractional coordinates):
1 O 0.500 0.500 0.000  0.07
2 Ir 0.387 0.387 0.775  0.65
3 O 0.595 0.095 0.189  0.07
4 O 0.905 0.405 0.811  0.07
5 Ir 0.613 0.613 0.225  0.65
6 Li 0.750 0.250 0.500  0.01
7 Pr 0.000 0.000 0.000  0.02
8 O 0.095 0.595 0.189  0.07
9 O 0.405 0.905 0.811  0.07
10 O 0.717 0.717 0.434  0.20
11 Li 0.250 0.750 0.500  0.01
12 O 0.283 0.283 0.566  0.20

Properties
Size of the total moment   2.27 μB per formula unit
Formation energy (no corrections)   -1.49 eV/atom
Calculated volume   11.83 Å³ per atom
Crystal system   tetragonal

***

Entry 17:
Crystalline Li4PrIr3O12 at its relaxed geometry, computed with GGA-PBE.

abc: 6.573 6.573 6.573
angles: 109.47 109.47 109.47
Last column: magnetic moment on the atom in μB.
Atoms (fractional coordinates):
1 O 0.833 0.152 0.319  0.17
2 O 0.513 0.681 0.833  0.17
3 O 0.848 0.681 0.167  0.17
4 O 0.152 0.319 0.833  0.17
5 O 0.681 0.833 0.513  0.17
6 O 0.681 0.167 0.848  0.17
7 O 0.319 0.167 0.487  0.17
8 Li 0.500 0.500 0.500  0.03
9 O 0.319 0.833 0.152  0.17
10 Ir 0.000 0.500 0.500  0.94
11 O 0.167 0.848 0.681  0.17
12 Ir 0.500 0.000 0.500  0.94
13 Li 0.500 0.000 0.000  0.03
14 Li 0.000 0.000 0.500  0.03
15 O 0.487 0.319 0.167  0.17
16 Ir 0.500 0.500 0.000  0.94
17 O 0.833 0.513 0.681  0.17
18 Pr 0.000 0.000 0.000  -0.01
19 Li 0.000 0.500 0.000  0.03
20 O 0.167 0.487 0.319  0.17

Properties
Size of the total moment   5.46 μB per formula unit
Formation energy (no corrections)   -1.15 eV/atom
Calculated volume   10.93 Å³ per atom
Crystal system   cubic

***

Entry 18:
Crystalline LiIrPtO6 at its relaxed geometry, computed with GGA-PBE.

abc: 5.244 5.244 9.111
angles: 90.00 90.00 120.00
Last column: magnetic moment on the atom in μB.
Atoms (fractional coordinates):
1 O 0.992 0.361 0.135  0.13
2 O 0.992 0.631 0.365  0.13
3 Li 0.000 0.000 0.000  0.01
4 O 0.639 0.008 0.365  0.13
5 O 0.369 0.361 0.365  0.13
6 Ir 0.667 0.333 0.250  0.85
7 O 0.631 0.639 0.635  0.13
8 Pt 0.667 0.333 0.750  0.14
9 Ir 0.333 0.667 0.750  0.85
10 O 0.361 0.369 0.865  0.13
11 O 0.631 0.992 0.865  0.13
12 O 0.008 0.369 0.635  0.13
13 Li 0.000 0.000 0.500  0.01
14 O 0.008 0.639 0.865  0.13
15 O 0.361 0.992 0.635  0.13
16 Pt 0.333 0.667 0.250  0.14
17 O 0.639 0.631 0.135  0.13
18 O 0.369 0.008 0.135  0.13

Properties
Size of the total moment   2.03 μB per formula unit
Formation energy (no corrections)   -0.70 eV/atom
Calculated volume   12.05 Å³ per atom
Crystal system   trigonal

***

Results for raw total energy: -58.782; -57.093; -62.780; -66.373; -127.670; -50.436; -129.128; -74.144; -116.419; -131.824; -146.288; -74.241; -145.737; -128.348; -127.259; -78.935; -121.524; -105.782 (in eV for the cell shown, following the order of the records).